# 1
Cd2CoTc2 | the Alexandria database | PBE-GGA | relaxed; SG = I4/mmm; DFT formation energy = 0.73 eV per atom; E = -5.208 eV per atom; total moment = 0.326 μB per atom
1.0
3.474 0.000 0.000
0.000 3.474 0.000
1.737 1.737 7.537
Cd Tc Co
2 2 1
direct
0.407 0.407 0.186
0.593 0.593 0.814
0.750 0.250 0.500
0.250 0.750 0.500
0.000 0.000 0.000

=====

# 2
CdCo3Tc | the Alexandria database | PBE-GGA | relaxed; polymorph energy (0 for the lowest one) = 0 meV per atom; SG = Pm-3m; DFT formation energy = 1.25 eV per atom; E = -5.265 eV per atom; total moment = 0.163 μB per atom
1.0
-1.404 3.996 -1.250
-4.149 -1.504 -0.148
-0.560 1.127 4.233
Co Tc Cd
3 1 1
direct
0.000 0.000 0.500
0.500 0.000 0.000
0.000 0.500 0.000
0.000 0.000 0.000
0.500 0.500 0.500